Compound: Nd4Sm5Tm4
Source: the Alexandria database
Functional: PBE
Structure: relaxed

Results
calculated total energy = -4.6391 eV/atom
space group = I4/m, No. 87
M_tot = 0.00 μB per formula unit

Cell and atoms, written as POSCAR:
```
Nd4Sm5Tm4
1.0
-6.502 6.502 2.540
6.502 -6.502 2.540
6.502 6.502 -2.540
Nd Sm Tm
4 5 4
direct
0.077 0.382 0.460
0.382 0.923 0.305
0.618 0.077 0.695
0.923 0.618 0.540
0.000 0.000 0.000
0.309 0.540 0.849
0.460 0.309 0.769
0.540 0.691 0.231
0.691 0.460 0.151
0.154 0.769 0.923
0.231 0.154 0.386
0.769 0.846 0.614
0.846 0.231 0.077
```

---

Compound: SmRu2O8
Source: the Alexandria database
Functional: PBE
Structure: relaxed

Results
formation energy (no corrections) = -1.318 eV/atom
space group = Fm-3m, No. 225
M_tot = 1.35 μB per formula unit

Cell and atoms, written as POSCAR:
```
SmRu2O8
1.0
0.000 4.813 4.813
4.813 0.000 4.813
4.813 4.813 0.000
Sm Ru O
1 2 8
direct
0.000 0.000 0.000
0.250 0.250 0.250
0.750 0.750 0.750
0.144 0.144 0.144
0.144 0.144 0.567
0.144 0.567 0.144
0.433 0.856 0.856
0.567 0.144 0.144
0.856 0.433 0.856
0.856 0.856 0.433
0.856 0.856 0.856
```

---

Compound: La5Nd2TmSc
Source: the Alexandria database
Functional: PBE
Structure: relaxed

Results
calculated total energy = -4.7279 eV/atom
space group = I4/mcm, No. 140
M_tot = 0.00 μB per formula unit

Cell and atoms, written as POSCAR:
```
La5Nd2TmSc
1.0
-4.226 4.226 8.873
4.226 -4.226 8.873
4.226 4.226 -8.873
La Nd Tm Sc
10 4 2 2
direct
0.000 0.000 0.000
0.077 0.577 0.945
0.132 0.077 0.500
0.368 0.868 0.945
0.423 0.368 0.500
0.500 0.500 0.000
0.577 0.632 0.500
0.632 0.132 0.055
0.868 0.923 0.500
0.923 0.423 0.055
0.127 0.373 0.500
0.373 0.873 0.245
0.627 0.127 0.755
0.873 0.627 0.500
0.250 0.250 0.000
0.750 0.750 0.000
0.250 0.750 0.500
0.750 0.250 0.500
```

---

Compound: Nd3ErSe4
Source: the Alexandria database
Functional: PBE
Structure: relaxed

Results
excess energy over the best structure of this formula in the dataset = 0.0000 eV/atom
formation energy (no corrections) = -1.803 eV/atom
space group = P2/c, No. 13
M_tot = 0.00 μB per formula unit

Cell and atoms, written as POSCAR:
```
Nd3ErSe4
1.0
7.319 0.000 0.000
0.000 8.296 0.000
-2.376 0.000 6.825
Nd Er Se
6 2 8
direct
0.000 0.122 0.250
0.000 0.373 0.750
0.000 0.627 0.250
0.000 0.878 0.750
0.500 0.123 0.750
0.500 0.877 0.250
0.500 0.373 0.250
0.500 0.627 0.750
0.257 0.132 0.007
0.257 0.868 0.507
0.262 0.381 0.499
0.262 0.619 0.999
0.738 0.381 0.001
0.738 0.619 0.501
0.743 0.132 0.493
0.743 0.868 0.993
```